1.
Entry from Alexandria: a relaxed CsIr2OsF crystal (PBE-GGA).

The structure in extended XYZ format:
```
5
Lattice="-4.372 1.536 -0.288 -2.384 -7.394 -3.221 -0.842 -1.593 4.279" Properties=species:S:1:pos:R:3 pbc="T T T"
Ir -0.421 -0.797 2.140
Ir -2.186 0.768 -0.144
F -3.799 -3.726 0.385
Cs -1.192 -3.697 -1.611
Os 0.000 0.000 0.000
```

Properties
M_tot: 0.054 μB per formula unit
Space-group type: P4/mmm (123)
Total energy: -5.498 eV per atom

=====

2.
Entry from Alexandria: a relaxed SrPaOs2O8 crystal (PBE-GGA).

The structure in extended XYZ format:
```
12
Lattice="5.829 0.000 0.000 -2.915 5.048 0.000 0.000 0.000 7.193" Properties=species:S:1:pos:R:3 pbc="T T T"
O 0.000 3.366 0.434
O -1.484 4.223 5.031
O 1.430 0.826 2.163
O 1.485 4.222 5.031
O 0.000 1.652 5.031
O 2.915 3.397 2.163
O 4.399 0.825 2.163
O 2.915 1.683 6.759
Sr 0.000 0.000 0.000
Os 2.915 1.683 1.339
Os 0.000 3.366 5.855
Pa 0.000 0.000 3.597
```

Properties
M_tot: 0.000 μB per formula unit
Space-group type: P-3m1 (164)
Total energy: -7.804 eV per atom

=====

3.
Entry from Alexandria: a relaxed LiSiB crystal (PBE-GGA).

The structure in extended XYZ format:
```
6
Lattice="9.184 0.000 -0.003 4.587 1.630 -2.477 -4.587 1.630 2.477" Properties=species:S:1:pos:R:3 pbc="T T T"
Si 5.141 1.630 -0.310
Si 2.800 1.630 -0.311
Li -3.603 1.630 2.169
Li 7.821 1.630 -0.334
B 1.624 1.630 1.329
B 10.800 1.630 -1.953
```

Properties
M_tot: 0.000 μB per formula unit
Space-group type: Cm (8)
Total energy: -4.644 eV per atom

=====

4.
Entry from Alexandria: a relaxed TiNb2Cu crystal (PBE-GGA).

The structure in extended XYZ format:
```
4
Lattice="0.000 3.197 3.197 3.197 0.000 3.197 3.197 3.197 0.000" Properties=species:S:1:pos:R:3 pbc="T T T"
Nb 1.598 1.598 1.598
Nb 4.795 4.795 4.795
Ti 0.000 0.000 0.000
Cu 3.197 3.197 3.197
```

Properties
Relative energy among the computed polymorphs: 165 meV/atom
M_tot: 0.000 μB per formula unit
Space-group type: Fm-3m (225)
Total energy: -7.857 eV per atom

=====

5.
Entry from Alexandria: a relaxed KBeSi crystal (PBE-GGA).

The structure in extended XYZ format:
```
3
Lattice="6.644 0.004 -0.004 5.453 3.308 0.002 1.191 -0.624 3.244" Properties=species:S:1:pos:R:3 pbc="T T T"
Si 7.778 1.754 1.284
Be 1.926 -0.359 3.025
K 4.774 0.669 2.178
```

Properties
Relative energy among the computed polymorphs: 186 meV/atom
M_tot: 0.000 μB per formula unit
Space-group type: Fmm2 (42)
Total energy: -2.922 eV per atom

=====

6.
Entry from Alexandria: a relaxed AcTb3SmY crystal (PBE-GGA).

The structure in extended XYZ format:
```
12
Lattice="-1.357 3.542 -3.918 -9.473 0.234 7.287 2.009 5.309 4.104" Properties=species:S:1:pos:R:3 pbc="T T T"
Y -8.074 6.748 5.102
Y -0.747 2.336 2.371
Tb 0.321 5.665 1.216
Tb -2.198 4.524 4.851
Tb -9.141 3.419 6.257
Tb -4.200 1.882 3.156
Tb -6.623 4.561 2.622
Tb -4.621 7.203 4.317
Sm -3.126 4.976 1.786
Sm -5.695 4.109 5.687
Ac -5.601 6.699 7.997
Ac -3.219 2.385 -0.524
```

Properties
M_tot: 0.000 μB per formula unit
Space-group type: C2/m (12)
Total energy: -4.638 eV per atom